No. 1
This record from Alexandria describes an optimized crystal structure of LaMgSi. The functional is PBE-GGA.

Geometry as POSCAR:
```
LaMgSi
1.0
-2.924 -2.104 -2.388
2.202 -3.679 0.545
-8.445 -3.116 13.088
La Mg Si
4 4 4
Direct
0.000 0.000 0.169 La
0.000 0.000 0.831 La
0.500 0.500 0.669 La
0.500 0.500 0.331 La
0.000 0.500 0.000 Mg
0.500 0.000 0.000 Mg
0.500 0.000 0.500 Mg
0.000 0.500 0.500 Mg
0.000 0.000 0.374 Si
0.000 0.000 0.626 Si
0.500 0.500 0.874 Si
0.500 0.500 0.126 Si
```

formation energy from raw total energies: -0.530 eV per atom
Fermi-level density of states: 0.51 states/eV/atom
theoretical density: 4283 kg/m3
final energy: -4.511 eV/atom



No. 2
This record from Alexandria describes an optimized crystal structure of LaMgSi. The functional is PBE-GGA.

Geometry as POSCAR:
```
LaMgSi
1.0
4.352 0.000 0.000
0.000 4.352 0.000
0.000 0.000 7.696
La Mg Si
2 2 2
Direct
0.000 0.500 0.149 La
0.500 0.000 0.851 La
0.000 0.000 0.500 Mg
0.500 0.500 0.500 Mg
0.000 0.500 0.728 Si
0.500 0.000 0.272 Si
```

formation energy from raw total energies: -0.510 eV per atom
Fermi-level density of states: 0.43 states/eV/atom
theoretical density: 4358 kg/m3
final energy: -4.491 eV/atom



No. 3
This record from Alexandria describes an optimized crystal structure of LaMg4Si. The functional is PBE-GGA.

Geometry as POSCAR:
```
LaMg4Si
1.0
-3.785 -3.277 3.171
-2.520 2.259 4.865
-5.778 1.319 0.005
La Mg Si
1 4 1
Direct
0.000 0.000 0.000 La
0.873 0.376 0.376 Mg
0.376 0.376 0.873 Mg
0.376 0.873 0.376 Mg
0.376 0.376 0.376 Mg
0.750 0.750 0.750 Si
```

formation energy from raw total energies: 0.158 eV per atom
Fermi-level density of states: 0.59 states/eV/atom
theoretical density: 2981 kg/m3
final energy: -2.630 eV/atom